DFT (PBE) results for a geometry-optimized ZrIN2Cl structure.

Values from the calculation:
theoretical density = 5.3 g cm⁻³
DOS at the Fermi energy = 0.594 states/eV/atom
formation energy from raw total energies = 1.9367 eV per atom
DFT total energy = -3.7824 eV per atom
calculated volume = 87.68 Å³/cell
energy above the most stable polymorph in this dataset = 1.4529 eV/atom

Lattice parameters (Å, degrees): 4.1153 4.1153 5.1771 90.00 90.00 90.00
Sites, in units of the cell vectors:
Zr (0.5000, 0.5000, 0.5000)
I (0.0000, 0.0000, 0.5000)
Cl (0.0000, 0.0000, 0.0000)
N (0.5000, 0.0000, 0.0000)
N (0.0000, 0.5000, 0.0000)